(1)
The following is a PBE calculation of an optimized crystal structure of Be2BiBSe, from Alexandria.

Results
- DOS at the Fermi energy (states/eV/cell) = 1.907
- theoretical density (Mg/m³) = 4.787
- electronic total energy (eV per atom) = -2.70

Cell: 4.782 4.782 4.806 Å, 90.00 90.00 90.00°
Space group P4/mmm (No. 123)
Asymmetric unit:
Be: 0.000 0.500 0.000
Bi: 0.000 0.000 0.000
B: 0.000 0.000 0.500
Se: 0.500 0.500 0.500

---

(2)
The following is a PBE calculation of an optimized crystal structure of La2ScFe, from Alexandria.

Results
- ΔH_f (0 K) (eV/atom) = 0.355
- DOS at the Fermi energy (states/eV/cell) = 15.446
- theoretical density (Mg/m³) = 6.102
- polymorph energy (0 for the lowest one) (meV/atom) = 239.7
- electronic total energy (eV per atom) = -5.81

Cell: 4.530 4.530 10.040 Å, 90.00 90.00 90.00°
Space group I-4m2 (No. 119)
Asymmetric unit:
La: 0.000 0.000 0.000
La: 0.000 0.500 0.250
Sc: 0.000 0.500 0.750
Fe: 0.000 0.000 0.500

---

(3)
The following is a PBE calculation of an optimized crystal structure of HoZrTe2, from Alexandria.

Results
- DOS at the Fermi energy (states/eV/cell) = 1.870
- theoretical density (Mg/m³) = 7.549
- polymorph energy (0 for the lowest one) (meV/atom) = 0.0
- electronic total energy (eV per atom) = -5.90

Cell: 7.196 3.933 7.948 Å, 90.00 90.00 90.00°
Space group P2_1/m (No. 11)
Asymmetric unit:
Ho: 0.149 0.250 0.127
Zr: 0.127 0.250 0.620
Te: 0.290 0.750 0.860
Te: 0.294 0.750 0.388

---

(4)
The following is a PBE calculation of an optimized crystal structure of Si4Br5, from Alexandria.

Results
- DOS at the Fermi energy (states/eV/cell) = 21.748
- theoretical density (Mg/m³) = 3.566
- electronic total energy (eV per atom) = -2.76

Cell: 12.570 12.570 3.017 Å, 90.00 90.00 90.00°
Space group I4/mmm (No. 139)
Asymmetric unit:
Si: 0.000 0.388 0.000
Br: 0.000 0.000 0.000
Br: 0.169 0.169 0.500

---

(5)
The following is a PBE calculation of an optimized crystal structure of RbPHCl2, from Alexandria.

Results
- DOS at the Fermi energy (states/eV/cell) = 23.006
- theoretical density (Mg/m³) = 0.956
- polymorph energy (0 for the lowest one) (meV/atom) = 931.2
- electronic total energy (eV per atom) = -1.99

Cell: 6.386 6.386 8.021 Å, 90.00 90.00 90.00°
Space group P4/mmm (No. 123)
Asymmetric unit:
Rb: 0.000 0.000 0.000
P: 0.000 0.000 0.500
H: 0.500 0.500 0.500
Cl: 0.000 0.500 0.000

---

(6)
The following is a PBE calculation of an optimized crystal structure of MgV2Ru2, from Alexandria.

Results
- ΔH_f (0 K) (eV/atom) = -0.052
- DOS at the Fermi energy (states/eV/cell) = 8.267
- theoretical density (Mg/m³) = 7.213
- polymorph energy (0 for the lowest one) (meV/atom) = 34.5
- electronic total energy (eV per atom) = -7.73

Cell: 7.327 7.327 2.816 Å, 90.00 90.00 90.00°
Space group P4/mbm (No. 127)
Asymmetric unit:
Mg: 0.000 0.000 0.000
V: 0.142 0.358 0.000
Ru: 0.153 0.653 0.500

---

(7)
The following is a PBE calculation of an optimized crystal structure of Zr2MnRu, from Alexandria.

Results
- ΔH_f (0 K) (eV/atom) = 0.066
- DOS at the Fermi energy (states/eV/cell) = 9.825
- theoretical density (Mg/m³) = 8.035
- electronic total energy (eV per atom) = -8.82

Cell: 3.1719 3.1719 24.0825 Å, 90.00 90.00 120.00°
Space group R-3m (No. 166, hexagonal axes)
Asymmetric unit:
Zr: 0.0000 0.0000 0.2473
Mn: 0.0000 0.0000 0.5000
Ru: 0.0000 0.0000 0.0000

---

(8)
The following is a PBE calculation of an optimized crystal structure of TcTeRhN2, from Alexandria.

Results
- DOS at the Fermi energy (states/eV/cell) = 3.830
- theoretical density (Mg/m³) = 6.989
- polymorph energy (0 for the lowest one) (meV/atom) = 0.0
- electronic total energy (eV per atom) = -6.76

Cell: 3.813 3.813 5.826 Å, 90.00 90.00 90.00°
Space group P4/mmm (No. 123)
Asymmetric unit:
Tc: 0.000 0.000 0.000
Te: 0.000 0.000 0.500
Rh: 0.500 0.500 0.500
N: 0.000 0.500 0.000

---

(9)
The following is a PBE calculation of an optimized crystal structure of TaSiO3, from Alexandria.

Results
- DOS at the Fermi energy (states/eV/cell) = 2.720
- theoretical density (Mg/m³) = 6.773
- electronic total energy (eV per atom) = -8.01

Cell: 3.979 3.979 3.979 Å, 90.00 90.00 90.00°
Space group Pm-3m (No. 221)
Asymmetric unit:
Ta: 0.000 0.000 0.000
Si: 0.500 0.500 0.500
O: 0.000 0.000 0.500

---

(10)
The following is a PBE calculation of an optimized crystal structure of La3Tl2In4, from Alexandria.

Results
- ΔH_f (0 K) (eV/atom) = -0.420
- DOS at the Fermi energy (states/eV/cell) = 6.163
- theoretical density (Mg/m³) = 8.071
- polymorph energy (0 for the lowest one) (meV/atom) = 20.0
- electronic total energy (eV per atom) = -3.81

Cell: 8.1040 8.1040 4.6472 Å, 90.00 90.00 120.00°
Space group P-62m (No. 189)
Asymmetric unit:
La: 0.0000 0.4003 0.0000
Tl: 0.3333 0.6667 0.5000
In: 0.0000 0.0000 0.0000
In: 0.0000 0.7499 0.5000

---

(11)
The following is a PBE calculation of an optimized crystal structure of Dy4Ho6Zr, from Alexandria.

Results
- ΔH_f (0 K) (eV/atom) = 0.150
- DOS at the Fermi energy (states/eV/cell) = 33.269
- theoretical density (Mg/m³) = 8.583
- electronic total energy (eV per atom) = -4.80

Cell: 8.687 8.687 8.874 Å, 90.00 90.00 90.00°
Space group P4/mnc (No. 128)
Asymmetric unit:
Dy: 0.146 0.354 0.250
Ho: 0.000 0.000 0.175
Ho: 0.151 0.654 0.500
Zr: 0.000 0.000 0.500

---

(12)
The following is a PBE calculation of an optimized crystal structure of Hf8Zn, from Alexandria.

Results
- ΔH_f (0 K) (eV/atom) = 0.007
- DOS at the Fermi energy (states/eV/cell) = 17.782
- theoretical density (Mg/m³) = 12.777
- electronic total energy (eV per atom) = -8.98

Cell: 9.461 9.461 4.337 Å, 90.00 90.00 90.00°
Space group I4/mmm (No. 139)
Asymmetric unit:
Hf: 0.000 0.333 0.000
Hf: 0.166 0.166 0.500
Zn: 0.000 0.000 0.000

---

> Among the records above, which one has the highest theoretical density?

Hf8Zn

---

> What is the formula in the twelfth record?

Hf8Zn

---

> Which of these has the lowest electronic total energy?

Hf8Zn